Entry from the Alexandria database: an optimized crystal structure of CeZr2Nb (GGA-PBE).

```
data_CeZr2Nb
_cell_length_a 3.4710
_cell_length_b 3.4710
_cell_length_c 7.6761
_cell_angle_alpha 90.00
_cell_angle_beta 90.00
_cell_angle_gamma 90.00
_space_group_name_H-M_alt 'P 1'
_space_group_IT_number 1
loop_
_space_group_symop_operation_xyz
'x,y,z'
loop_
_atom_site_label
_atom_site_fract_x
_atom_site_fract_y
_atom_site_fract_z
_atom_site_occupancy
Ce1 0.0000 0.0000 0.0000 1
Zr1 0.5000 0.5000 0.2868 1
Zr2 0.5000 0.5000 0.7132 1
Nb1 0.0000 0.0000 0.5000 1
```

Summary:
For the formation energy, the calculation gives 0.106 eV/atom. As for the magnetic moment: 0.0034 μB per atom.